VASP calculation (PBE+U) on a geometry-optimized RbNiRuF6 structure.

Computed properties:
* VASP energy: -85.49 eV/cell

Unit cell a=7.3545 b=7.4231 c=7.4093 alpha=120.06 beta=119.76 gamma=90.00
Site moments in Bohr magnetons follow the coordinates.
Fractional positions:
1 Rb 0.8941 0.6441 0.7883  0.00
2 Rb 0.1059 0.3559 0.2117  0.00
3 Ni 0.5000 0.0000 0.5000  1.83
4 Ni 0.0000 0.0000 0.5000  1.83
5 Ru 0.5000 0.5000 0.0000  0.85
6 Ru 0.5000 0.0000 0.0000  0.85
7 F 0.4227 0.6727 0.8454  0.03
8 F 0.8202 0.0702 0.6404  0.05
9 F 0.8265 0.0772 0.2476  0.04
10 F 0.4211 0.6704 0.2476  0.04
11 F 0.4211 0.0772 0.2476  0.04
12 F 0.8265 0.6704 0.2476  0.04
13 F 0.5773 0.3273 0.1546  0.03
14 F 0.1798 0.9298 0.3596  0.05
15 F 0.1735 0.9228 0.7524  0.04
16 F 0.5789 0.3296 0.7524  0.04
17 F 0.5789 0.9228 0.7524  0.04
18 F 0.1735 0.3296 0.7524  0.04